(1)
Density functional theory data (GGA-PBEsol) for a relaxed TaTlNi2 crystal.

```
TaTlNi2
1.0
3.1802 0.0000 0.0000
0.0000 3.1802 0.0000
0.0000 0.0000 6.0396
Ta Tl Ni
1 1 2
direct
0.0000 0.0000 0.0000 Ta
0.0000 0.0000 0.5000 Tl
0.5000 0.5000 0.2077 Ni
0.5000 0.5000 0.7923 Ni
```

- Space group: No. 123
- Total DFT energy (no corrections): -6.893 eV/atom
- Energy relative to the elements: -19 meV per atom
- Offset from the most stable computed form: 0.000 eV/atom
- Density of states at the Fermi level: 1.82 states/eV/f.u.

=====

(2)
Density functional theory data (GGA-PBEsol) for a relaxed Cs2Ag2Pb crystal.

```
Cs2Ag2Pb
1.0
4.7892 0.0000 0.0000
0.0000 4.7892 0.0000
0.0000 0.0000 15.1730
Cs Ag Pb
4 4 2
direct
0.0000 0.5000 0.2500 Cs
0.0000 0.5000 0.7500 Cs
0.5000 0.0000 0.2500 Cs
0.5000 0.0000 0.7500 Cs
0.0000 0.0000 0.0850 Ag
0.0000 0.0000 0.9150 Ag
0.5000 0.5000 0.4150 Ag
0.5000 0.5000 0.5850 Ag
0.0000 0.0000 0.5000 Pb
0.5000 0.5000 0.0000 Pb
```

- Space group: No. 139
- Total DFT energy (no corrections): -1.981 eV/atom
- Energy relative to the elements: 520 meV per atom
- Offset from the most stable computed form: 0.391 eV/atom
- Density of states at the Fermi level: 3.45 states/eV/f.u.

=====

(3)
Density functional theory data (GGA-PBEsol) for a relaxed CoTeRu2 crystal.

```
CoTeRu2
1.0
3.9724 0.0000 0.0000
0.0000 3.9724 0.0000
0.0000 0.0000 7.1069
Co Te Ru
2 2 4
direct
0.0000 0.0000 0.0000 Co
0.5000 0.5000 0.5000 Co
0.0000 0.0000 0.5000 Te
0.5000 0.5000 0.0000 Te
0.0000 0.5000 0.2500 Ru
0.0000 0.5000 0.7500 Ru
0.5000 0.0000 0.2500 Ru
0.5000 0.0000 0.7500 Ru
```

- Raw formation energy: 0.29 eV/atom
- Space group: No. 139
- Total DFT energy (no corrections): -7.611 eV/atom
- Density of states at the Fermi level: 4.65 states/eV/f.u.

=====

(4)
Density functional theory data (GGA-PBEsol) for a relaxed TaGaAs2 crystal.

```
TaGaAs2
1.0
5.8903 0.0000 0.0000
0.0000 5.8903 0.0000
0.0000 0.0000 11.0959
Ta Ga As
4 4 8
direct
0.0000 0.0000 0.0000 Ta
0.0000 0.5000 0.2500 Ta
0.5000 0.0000 0.7500 Ta
0.5000 0.5000 0.5000 Ta
0.0000 0.0000 0.5000 Ga
0.0000 0.5000 0.7500 Ga
0.5000 0.0000 0.2500 Ga
0.5000 0.5000 0.0000 Ga
0.2460 0.2500 0.1250 As
0.2500 0.7460 0.3750 As
0.2500 0.7540 0.8750 As
0.2540 0.2500 0.6250 As
0.7460 0.7500 0.6250 As
0.7500 0.2460 0.8750 As
0.7500 0.2540 0.3750 As
0.7540 0.7500 0.1250 As
```

- Space group: No. 122
- Total DFT energy (no corrections): -6.319 eV/atom
- Energy relative to the elements: 207 meV per atom
- Density of states at the Fermi level: 2.78 states/eV/f.u.

=====

(5)
Density functional theory data (GGA-PBEsol) for a relaxed SrBe3Tl crystal.

```
SrBe3Tl
1.0
4.6479 0.0000 0.0000
0.0000 4.6479 0.0000
0.0000 0.0000 4.6479
Sr Be Tl
1 3 1
direct
0.0000 0.0000 0.0000 Sr
0.0000 0.5000 0.5000 Be
0.5000 0.0000 0.5000 Be
0.5000 0.5000 0.0000 Be
0.5000 0.5000 0.5000 Tl
```

- Space group: No. 221
- Total DFT energy (no corrections): -2.504 eV/atom
- Energy relative to the elements: 791 meV per atom
- Density of states at the Fermi level: 1.79 states/eV/f.u.

=====

(6)
Density functional theory data (GGA-PBEsol) for a relaxed CoSbN2 crystal.

```
CoSbN2
1.0
4.7990 0.0000 0.0000
0.0000 4.7990 0.0000
0.0000 0.0000 8.9588
Co Sb N
4 4 8
direct
0.0000 0.0000 0.0000 Co
0.0000 0.5000 0.2500 Co
0.5000 0.0000 0.7500 Co
0.5000 0.5000 0.5000 Co
0.0000 0.0000 0.5000 Sb
0.0000 0.5000 0.7500 Sb
0.5000 0.0000 0.2500 Sb
0.5000 0.5000 0.0000 Sb
0.1749 0.2500 0.1250 N
0.2500 0.6749 0.3750 N
0.2500 0.8251 0.8750 N
0.3251 0.2500 0.6250 N
0.6749 0.7500 0.6250 N
0.7500 0.1749 0.8750 N
0.7500 0.3251 0.3750 N
0.8251 0.7500 0.1250 N
```

- Raw formation energy: 0.46 eV/atom
- Space group: No. 122
- Total DFT energy (no corrections): -6.877 eV/atom
- Density of states at the Fermi level: 2.69 states/eV/f.u.

=====

Which formula does entry 1 have?
TaTlNi2